# 1
Ce6Sb3Ir: relaxed, GGA-PBE.

Properties
**ΔE_f (raw)**: -0.685 eV per atom
**Spin magnetization**: 0.744 μB/atom
**E_tot**: -6.368 eV per atom
**Fermi-level density of states**: 3.216 states/eV/atom

a b c (Å): 6.0013 8.6821 11.1625
angles (deg): 90.00 90.34 90.00
With the nearest neighbours (Å) after each atom.
Atoms (fractional coordinates):
Ce 0.5836 0.1504 0.9387  1 Ir 2.90, 1 Ce 3.12, 1 Sb 3.15
Ce 0.5639 0.1754 0.5562  1 Ir 2.91, 1 Sb 3.10
Ce 0.6100 0.4783 0.2688  1 Ir 2.67
Ce 0.3900 0.5217 0.7312  1 Ir 2.67
Ce 0.4361 0.8246 0.4438  1 Ir 2.91, 1 Sb 3.10
Ce 0.4164 0.8496 0.0613  1 Ir 2.90, 1 Ce 3.12, 1 Sb 3.15
Ce 0.0836 0.3496 0.4387  1 Ir 2.90, 1 Ce 3.12, 1 Sb 3.15
Ce 0.0639 0.3246 0.0562  1 Ir 2.91, 1 Sb 3.10
Ce 0.1100 0.0217 0.7688  1 Ir 2.67
Ce 0.8900 0.9783 0.2312  1 Ir 2.67
Ce 0.9361 0.6754 0.9438  1 Ir 2.91, 1 Sb 3.10
Ce 0.9164 0.6504 0.5613  1 Ir 2.90, 1 Ce 3.12, 1 Sb 3.15
Sb 0.5982 0.8648 0.7461  8 Ce 3.23-3.52
Sb 0.5000 0.5000 0.0000  6 Ce 3.07-3.15
Sb 0.4018 0.1352 0.2539  8 Ce 3.23-3.52
Sb 0.0982 0.6352 0.2461  8 Ce 3.23-3.52
Sb 0.0000 0.0000 0.5000  6 Ce 3.07-3.15
Sb 0.9018 0.3648 0.7539  8 Ce 3.23-3.52
Ir 0.5000 0.5000 0.5000  6 Ce 2.67-2.91
Ir 0.0000 0.0000 0.0000  6 Ce 2.67-2.91

# 2
Ce6SbIr2: relaxed, GGA-PBE.

Properties
**Energy above the most stable polymorph in this dataset**: 0.00 eV/f.u.
**ΔE_f (raw)**: -0.591 eV per atom
**Spin magnetization**: 0.230 μB/atom
**E_tot**: -6.974 eV per atom
**Fermi-level density of states**: 2.277 states/eV/atom

a b c (Å): 4.6324 5.8117 9.1420
angles (deg): 91.82 90.00 113.49
With the nearest neighbours (Å) after each atom.
Atoms (fractional coordinates):
Ce 0.0789 0.1577 0.8548  3 Ir 2.93-2.95, 3 Ce 2.95-3.19
Ce 0.5913 0.1826 0.1724  2 Ce 2.95, 3 Ir 2.96-3.12
Ce 0.4087 0.8174 0.8276  2 Ce 2.95, 3 Ir 2.96-3.12
Ce 0.7106 0.4213 0.5965  1 Ir 2.68
Ce 0.2894 0.5787 0.4035  1 Ir 2.68
Ce 0.9211 0.8423 0.1452  3 Ir 2.93-2.95, 3 Ce 2.95-3.19
Sb 0.0000 0.0000 0.5000  8 Ce 3.24-3.32
Ir 0.7453 0.4905 0.8887  6 Ce 2.68-2.96
Ir 0.2547 0.5095 0.1113  6 Ce 2.68-2.96

# 3
Ce2Sb4Ir3: relaxed, GGA-PBE.

Properties
**ΔE_f (raw)**: -0.692 eV per atom
**Spin magnetization**: 0.082 μB/atom
**E_tot**: -6.797 eV per atom
**Fermi-level density of states**: 1.093 states/eV/atom

a b c (Å): 4.5605 11.0109 16.3076
angles (deg): 90.00 90.00 90.00
With the nearest neighbours (Å) after each atom.
Atoms (fractional coordinates):
Ce 0.2500 0.7427 0.5046  3 Ir 3.15-3.39, 6 Sb 3.34-3.46
Ce 0.2500 0.7573 0.0046  3 Ir 3.15-3.39, 6 Sb 3.34-3.46
Ce 0.7500 0.2573 0.4954  3 Ir 3.15-3.39, 6 Sb 3.34-3.46
Ce 0.7500 0.2427 0.9954  3 Ir 3.15-3.39, 6 Sb 3.34-3.46
Ce 0.2500 0.5922 0.7522  5 Ir 3.23-3.49, 8 Sb 3.24-3.43
Ce 0.2500 0.9078 0.2522  5 Ir 3.23-3.49, 8 Sb 3.24-3.43
Ce 0.7500 0.4078 0.2478  5 Ir 3.23-3.49, 8 Sb 3.24-3.43
Ce 0.7500 0.0922 0.7478  5 Ir 3.23-3.49, 8 Sb 3.24-3.43
Sb 0.2500 0.2728 0.6488  3 Ir 2.58-2.71
Sb 0.2500 0.2272 0.1488  3 Ir 2.58-2.71
Sb 0.7500 0.7272 0.3512  3 Ir 2.58-2.71
Sb 0.7500 0.7728 0.8512  3 Ir 2.58-2.71
Sb 0.2500 0.8892 0.7130  3 Ir 2.65-2.67
Sb 0.2500 0.6108 0.2130  3 Ir 2.65-2.67
Sb 0.7500 0.1108 0.2870  3 Ir 2.65-2.67
Sb 0.7500 0.3892 0.7870  3 Ir 2.65-2.67
Sb 0.2500 0.0621 0.8927  4 Ir 2.65-2.68
Sb 0.2500 0.4379 0.3927  4 Ir 2.65-2.68
Sb 0.7500 0.9379 0.1073  4 Ir 2.65-2.68
Sb 0.7500 0.5621 0.6073  4 Ir 2.65-2.68
Sb 0.2500 0.4427 0.9319  4 Ir 2.62-2.66
Sb 0.2500 0.0573 0.4319  4 Ir 2.62-2.66
Sb 0.7500 0.5573 0.0681  4 Ir 2.62-2.66
Sb 0.7500 0.9427 0.5681  4 Ir 2.62-2.66
Ir 0.2500 0.4668 0.5558  4 Sb 2.62-2.68
Ir 0.2500 0.0332 0.0558  4 Sb 2.62-2.68
Ir 0.7500 0.5332 0.4442  4 Sb 2.62-2.68
Ir 0.7500 0.9668 0.9442  4 Sb 2.62-2.68
Ir 0.2500 0.0539 0.5927  5 Sb 2.58-2.67
Ir 0.2500 0.4461 0.0927  5 Sb 2.58-2.67
Ir 0.7500 0.9461 0.4073  5 Sb 2.58-2.67
Ir 0.7500 0.5539 0.9073  5 Sb 2.58-2.67
Ir 0.2500 0.2741 0.8152  5 Sb 2.65-2.71
Ir 0.2500 0.2259 0.3152  5 Sb 2.65-2.71
Ir 0.7500 0.7259 0.1848  5 Sb 2.65-2.71
Ir 0.7500 0.7741 0.6848  5 Sb 2.65-2.71

# 4
Ce7Sb2Ir2: relaxed, GGA-PBE.

Properties
**ΔE_f (raw)**: -0.514 eV per atom
**Spin magnetization**: 0.557 μB/atom
**E_tot**: -6.651 eV per atom
**Fermi-level density of states**: 3.078 states/eV/atom

a b c (Å): 7.0783 6.6464 7.0783
angles (deg): 90.02 106.50 89.98
With the nearest neighbours (Å) after each atom.
Atoms (fractional coordinates):
Ce 0.9998 0.2758 0.5003  2 Ir 2.80, 1 Ce 2.98
Ce 0.5003 0.7242 0.9998  2 Ir 2.80, 1 Ce 2.98
Ce 0.0002 0.7242 0.4997  2 Ir 2.80, 1 Ce 2.98
Ce 0.4997 0.2758 0.0002  2 Ir 2.80, 1 Ce 2.98
Ce 0.0000 0.0000 0.0000  2 Ir 2.98
Ce 0.5002 0.7896 0.4998  1 Ce 2.80, 2 Ir 3.03
Ce 0.4998 0.2104 0.5002  1 Ce 2.80, 2 Ir 3.03
Sb 0.8092 0.5000 0.8092  1 Sb 3.23, 6 Ce 3.24-3.25
Sb 0.1908 0.5000 0.1908  1 Sb 3.23, 6 Ce 3.24-3.25
Ir 0.7370 0.0000 0.2630  7 Ce 2.80-3.03
Ir 0.2630 0.0000 0.7370  7 Ce 2.80-3.03

# 5
Ce4SbIr: relaxed, GGA-PBE.

Properties
**Energy above the most stable polymorph in this dataset**: 0.02 eV/f.u.
**ΔE_f (raw)**: -0.581 eV per atom
**Spin magnetization**: 0.515 μB/atom
**E_tot**: -6.701 eV per atom
**Fermi-level density of states**: 3.165 states/eV/atom

a b c (Å): 5.7172 6.6079 9.2693
angles (deg): 90.00 114.38 90.00
With the nearest neighbours (Å) after each atom.
Atoms (fractional coordinates):
Ce 0.6087 0.2500 0.4521  1 Ir 2.69
Ce 0.3913 0.7500 0.5479  1 Ir 2.69
Ce 0.6654 0.2500 0.8729  1 Ir 2.80
Ce 0.3346 0.7500 0.1271  1 Ir 2.80
Ce 0.9241 0.0325 0.2594  2 Ir 2.87-3.09, 1 Ce 2.87
Ce 0.0759 0.5325 0.7406  2 Ir 2.87-3.09, 1 Ce 2.87
Ce 0.9241 0.4675 0.2594  2 Ir 2.87-3.09, 1 Ce 2.87
Ce 0.0759 0.9675 0.7406  2 Ir 2.87-3.09, 1 Ce 2.87
Sb 0.3016 0.2500 0.0770  11 Ce 3.18-3.55
Sb 0.6984 0.7500 0.9230  11 Ce 3.18-3.55
Ir 0.2536 0.2500 0.5730  4 Ce 2.69-2.87
Ir 0.7464 0.7500 0.4270  4 Ce 2.69-2.87

# 6
Ce5Sb2Ir: relaxed, GGA-PBE.

Properties
**Energy above the most stable polymorph in this dataset**: 2.01 eV/f.u.
**ΔE_f (raw)**: -0.526 eV per atom
**Spin magnetization**: 0.670 μB/atom
**E_tot**: -6.373 eV per atom
**Fermi-level density of states**: 3.192 states/eV/atom

a b c (Å): 5.6870 5.5177 16.6380
angles (deg): 90.00 90.00 121.02
With the nearest neighbours (Å) after each atom.
Atoms (fractional coordinates):
Ce 0.8990 0.7979 0.8785  1 Ir 2.91, 1 Ce 3.15
Ce 0.8990 0.7979 0.6215  1 Ir 2.91, 1 Ce 3.15
Ce 0.4310 0.8621 0.4029  1 Ir 2.79
Ce 0.4310 0.8621 0.0971  1 Ir 2.79
Ce 0.7516 0.5032 0.2500  2 Ir 2.90, 2 Sb 3.14
Ce 0.2484 0.4968 0.7500  2 Ir 2.90, 2 Sb 3.14
Ce 0.5690 0.1379 0.5971  1 Ir 2.79
Ce 0.5690 0.1379 0.9029  1 Ir 2.79
Ce 0.1010 0.2021 0.1215  1 Ir 2.91, 1 Ce 3.15
Ce 0.1010 0.2021 0.3785  1 Ir 2.91, 1 Ce 3.15
Sb 0.7692 0.5383 0.4383  9 Ce 3.14-3.41
Sb 0.7692 0.5383 0.0617  9 Ce 3.14-3.41
Sb 0.2308 0.4617 0.5617  9 Ce 3.14-3.41
Sb 0.2308 0.4617 0.9383  9 Ce 3.14-3.41
Ir 0.6899 0.3798 0.7500  6 Ce 2.79-2.91
Ir 0.3101 0.6202 0.2500  6 Ce 2.79-2.91

# 7
Ce6SbIr2: relaxed, GGA-PBE.

Properties
**Energy above the most stable polymorph in this dataset**: 1.21 eV/f.u.
**ΔE_f (raw)**: -0.457 eV per atom
**Spin magnetization**: 0.104 μB/atom
**E_tot**: -6.840 eV per atom
**Fermi-level density of states**: 2.305 states/eV/atom

a b c (Å): 6.9349 9.1069 9.1069
angles (deg): 65.64 67.66 67.66
With the nearest neighbours (Å) after each atom.
Atoms (fractional coordinates):
Ce 0.5399 0.5159 0.6360  2 Ce 2.79-2.88, 2 Ir 2.98-3.08
Ce 0.9601 0.3640 0.4841  2 Ce 2.79-2.88, 2 Ir 2.98-3.08
Ce 0.4601 0.4841 0.3640  2 Ce 2.79-2.88, 2 Ir 2.98-3.08
Ce 0.0399 0.6360 0.5159  2 Ce 2.79-2.88, 2 Ir 2.98-3.08
Ce 0.7394 0.0477 0.4510  3 Ir 2.66-2.79
Ce 0.7606 0.5490 0.9523  3 Ir 2.66-2.79
Ce 0.2606 0.9523 0.5490  3 Ir 2.66-2.79
Ce 0.2394 0.4510 0.0477  3 Ir 2.66-2.79
Ce 0.1914 0.8634 0.9849  2 Ce 2.79-2.88, 2 Ir 2.98-3.08
Ce 0.3086 0.0151 0.1366  2 Ce 2.79-2.88, 2 Ir 2.98-3.08
Ce 0.8086 0.1366 0.0151  2 Ce 2.79-2.88, 2 Ir 2.98-3.08
Ce 0.6914 0.9849 0.8634  2 Ce 2.79-2.88, 2 Ir 2.98-3.08
Sb 0.2500 0.2500 0.7500  8 Ce 3.32-3.37
Sb 0.7500 0.7500 0.2500  8 Ce 3.32-3.37
Ir 0.0846 0.7126 0.7876  3 Ce 2.66-2.79
Ir 0.4154 0.2124 0.2874  3 Ce 2.66-2.79
Ir 0.9154 0.2874 0.2124  3 Ce 2.66-2.79
Ir 0.5846 0.7876 0.7126  3 Ce 2.66-2.79

# 8
Ce8Sb2Ir3: relaxed, GGA-PBE.

Properties
**ΔE_f (raw)**: -0.499 eV per atom
**Spin magnetization**: 0.579 μB/atom
**E_tot**: -6.830 eV per atom
**Fermi-level density of states**: 3.917 states/eV/atom

a b c (Å): 6.9468 8.0464 8.9971
angles (deg): 116.56 104.63 90.00
With the nearest neighbours (Å) after each atom.
Atoms (fractional coordinates):
Ce 0.9066 0.6037 0.2073  2 Ir 2.78
Ce 0.0934 0.3963 0.7927  2 Ir 2.78
Ce 0.9031 0.0999 0.1998  3 Ir 2.80-2.81
Ce 0.0969 0.9001 0.8002  3 Ir 2.80-2.81
Ce 0.5975 0.6475 0.7914  2 Ir 2.81-2.83
Ce 0.5975 0.1440 0.7914  2 Ir 2.81-2.83
Ce 0.4025 0.8560 0.2086  2 Ir 2.81-2.83
Ce 0.4025 0.3525 0.2086  2 Ir 2.81-2.83
Sb 0.3346 0.2513 0.5025  6 Ce 3.23-3.29
Sb 0.6654 0.7487 0.4975  6 Ce 3.23-3.29
Ir 0.5000 0.0000 0.0000  6 Ce 2.81
Ir 0.0000 0.2546 0.0000  6 Ce 2.78-2.83
Ir 0.0000 0.7454 0.0000  6 Ce 2.78-2.83

# 9
Ce5Sb2Ir: relaxed, GGA-PBE.

Properties
**Energy above the most stable polymorph in this dataset**: 0.00 eV/f.u.
**ΔE_f (raw)**: -0.778 eV per atom
**Spin magnetization**: 0.601 μB/atom
**E_tot**: -6.625 eV per atom
**Fermi-level density of states**: 3.111 states/eV/atom

a b c (Å): 4.6039 7.9334 12.3405
angles (deg): 90.00 90.00 90.00
With the nearest neighbours (Å) after each atom.
Atoms (fractional coordinates):
Ce 0.0000 0.0000 0.5000  4 Sb 3.25, 4 Ce 3.34
Ce 0.0000 0.5000 0.0000  4 Sb 3.25, 4 Ce 3.34
Ce 0.0000 0.8690 0.2024  1 Ir 2.70
Ce 0.0000 0.1310 0.7976  1 Ir 2.70
Ce 0.0000 0.6310 0.7024  1 Ir 2.70
Ce 0.0000 0.3690 0.2976  1 Ir 2.70
Ce 0.5000 0.7082 0.4412  2 Ir 2.92
Ce 0.5000 0.2918 0.5588  2 Ir 2.92
Ce 0.5000 0.7918 0.9412  2 Ir 2.92
Ce 0.5000 0.2082 0.0588  2 Ir 2.92
Sb 0.5000 0.5863 0.1770  9 Ce 3.23-3.40
Sb 0.5000 0.4137 0.8230  9 Ce 3.23-3.40
Sb 0.5000 0.9137 0.6770  9 Ce 3.23-3.40
Sb 0.5000 0.0863 0.3230  9 Ce 3.23-3.40
Ir 0.0000 0.5000 0.5000  6 Ce 2.70-2.92
Ir 0.0000 0.0000 0.0000  6 Ce 2.70-2.92

# 10
CeSb2Ir: relaxed, GGA-PBE.

Properties
**ΔE_f (raw)**: 0.125 eV per atom
**Spin magnetization**: 0.001 μB/atom
**E_tot**: -5.635 eV per atom
**Fermi-level density of states**: 1.323 states/eV/atom

a b c (Å): 3.1898 3.1898 10.6822
angles (deg): 81.41 81.41 60.00
With the nearest neighbours (Å) after each atom.
Atoms (fractional coordinates):
Sb 0.9191 0.9191 0.2428  1 Ir 2.55
Sb 0.0809 0.0809 0.7572  1 Ir 2.55
Ir 0.0000 0.0000 0.0000  2 Sb 2.55
Ce 0.5000 0.5000 0.5000  6 Ce 3.19, 6 Sb 3.27